{
  "formula": "Ti6GaHg",
  "functional": "PBE",
  "state": "optimized geometry",
  "e_form_kj_per_mol_atoms": -17.4,
  "lattice_angstrom": [[4.075, 0.000, 0.000], [0.000, 4.075, 0.000], [0.000, 0.000, 8.159]],
  "species": ["Ti", "Ti", "Ti", "Ti", "Ti", "Ti", "Ga", "Hg"],
  "frac_coords": [[0.000, 0.000, 0.000], [0.000, 0.000, 0.500], [0.000, 0.500, 0.240], [0.000, 0.500, 0.760], [0.500, 0.000, 0.240], [0.500, 0.000, 0.760], [0.500, 0.500, 0.000], [0.500, 0.500, 0.500]]
}

---

{
  "formula": "Cs2IrPdO4",
  "functional": "PBE",
  "state": "optimized geometry",
  "formation_energy_uncorrected_ev_per_atom": -0.73,
  "lattice_angstrom": [[-3.289, 3.289, 3.735], [3.289, -3.289, 3.735], [3.289, 3.289, -3.735]],
  "species": ["Cs", "Cs", "Ir", "Pd", "O", "O", "O", "O"],
  "frac_coords": [[0.000, 0.000, 0.000], [0.750, 0.250, 0.500], [0.500, 0.500, 0.000], [0.250, 0.750, 0.500], [0.311, 0.172, 0.639], [0.328, 0.689, 0.861], [0.533, 0.672, 0.361], [0.828, 0.467, 0.139]]
}

---

{
  "formula": "Pm7Pr2Th2",
  "functional": "PBE",
  "state": "optimized geometry",
  "relative_energy_mev_per_atom": 75,
  "e_form_kj_per_mol_atoms": 24.7,
  "lattice_angstrom": [[5.104, -5.898, 0.000], [5.104, 5.898, 0.000], [-2.725, 0.000, 6.407]],
  "species": ["Pm", "Pm", "Pm", "Pm", "Pm", "Pm", "Pm", "Pr", "Pr", "Th", "Th"],
  "frac_coords": [[0.000, 0.000, 0.000], [0.078, 0.579, 0.802], [0.299, 0.299, 0.513], [0.421, 0.922, 0.198], [0.579, 0.078, 0.802], [0.701, 0.701, 0.487], [0.922, 0.421, 0.198], [0.361, 0.361, 0.066], [0.639, 0.639, 0.934], [0.150, 0.850, 0.500], [0.850, 0.150, 0.500]]
}

---

{
  "formula": "Zr2CdHRh",
  "functional": "PBE",
  "state": "optimized geometry",
  "relative_energy_mev_per_atom": 0,
  "lattice_angstrom": [[4.497, 0.000, 0.000], [0.000, 4.497, 0.000], [0.000, 0.000, 3.974]],
  "species": ["Zr", "Zr", "Cd", "H", "Rh"],
  "frac_coords": [[0.000, 0.500, 0.000], [0.500, 0.000, 0.000], [0.000, 0.000, 0.500], [0.500, 0.500, 0.000], [0.500, 0.500, 0.500]]
}

---

{
  "formula": "Pr5Sm5Y2",
  "functional": "PBE",
  "state": "optimized geometry",
  "e_form_kj_per_mol_atoms": 1.5,
  "lattice_angstrom": [[7.763, -2.584, 0.000], [7.763, 2.584, 0.000], [-5.167, 0.000, 10.346]],
  "species": ["Pr", "Pr", "Pr", "Pr", "Pr", "Sm", "Sm", "Sm", "Sm", "Sm", "Y", "Y"],
  "frac_coords": [[0.000, 0.000, 0.000], [0.165, 0.165, 0.499], [0.251, 0.251, 0.250], [0.749, 0.749, 0.750], [0.835, 0.835, 0.501], [0.333, 0.333, 0.000], [0.418, 0.418, 0.751], [0.500, 0.500, 0.500], [0.582, 0.582, 0.249], [0.667, 0.667, 0.000], [0.083, 0.083, 0.752], [0.917, 0.917, 0.248]]
}

---

{
  "formula": "CdPSe",
  "functional": "PBE",
  "state": "optimized geometry",
  "formation_energy_uncorrected_ev_per_atom": 0.44,
  "relative_energy_mev_per_atom": 327,
  "lattice_angstrom": [[0.000, 3.257, 3.257], [3.257, 0.000, 3.257], [3.257, 3.257, 0.000]],
  "species": ["Cd", "P", "Se"],
  "frac_coords": [[0.000, 0.000, 0.000], [0.250, 0.250, 0.250], [0.500, 0.500, 0.500]]
}

---

The calculation returns the following DFT total energy values, one per record and in order: -52.14 -41.47 -54.84 -30.43 -60.24 -8.50 eV per cell.